Computed, not measured: a geometry-optimized Mn6O5F7 structure at the GGA+U level of DFT.

Results
- energy (Ha/atom) = -0.244
- energy above the lowest structure with this stoichiometry (meV/atom) = 37.9
- density of states at the Fermi level (states/eV/f.u.) = 2.28
- size of the total moment (μB/f.u.) = 25.00

Lattice parameters (Å, degrees): 9.220 6.833 7.337 90.00 111.40 90.00
Space group Cm (No. 8)
One atom of each set of equivalent atoms:
Mn 0.000 0.000 0.000 x2
Mn 0.008 0.000 0.496 x2
Mn 0.146 0.500 0.162 x2
Mn 0.188 0.500 0.648 x2
Mn 0.331 0.000 0.328 x2
Mn 0.356 0.000 0.843 x2
O 0.003 0.312 0.001 x4
O 0.062 0.500 0.362 x2
O 0.105 0.000 0.296 x2
O 0.412 0.500 0.701 x2
F 0.191 0.186 0.675 x4
F 0.236 0.000 0.033 x2
F 0.258 0.500 0.957 x2
F 0.324 0.314 0.320 x4
F 0.454 0.000 0.625 x2